Here is TaTi2Zn2 after structural relaxation from Alexandria. Energies are from PBE-GGA.

For the calculated density, the calculation gives 8.33 g/cm³. The total energy is -6.052 eV/atom. The space-group type is P4/mbm. For the magnetization, the calculation gives 0.0 μB per cell.

Cell: 7.265 7.265 3.079 Å, 90.00 90.00 90.00°
Fractional coordinates of all 10 atoms:
Ti 0.819 0.319 0.500
Ti 0.319 0.181 0.500
Ti 0.181 0.681 0.500
Ti 0.681 0.819 0.500
Ta 0.500 0.500 0.000
Ta 0.000 0.000 0.000
Zn 0.380 0.880 0.000
Zn 0.880 0.620 0.000
Zn 0.620 0.120 0.000
Zn 0.120 0.380 0.000

Here is TaTi2Zn6 after structural relaxation from Alexandria. Energies are from PBE-GGA.

For the calculated density, the calculation gives 8.03 g/cm³. The total energy is -4.025 eV/atom. The space-group type is P6/mmm. For the magnetization, the calculation gives 0.4 μB per cell.

Cell: 2.921 7.397 7.397 Å, 60.00 90.00 90.00°
Last column: magnetic moment on the atom in μB.
Fractional coordinates of all 9 atoms:
Ta 0.000 0.000 0.000  0.00
Zn 0.500 0.334 0.000  0.00
Zn 0.500 0.000 0.334  0.00
Zn 0.500 0.666 0.000  0.00
Zn 0.500 0.666 0.334  0.00
Zn 0.500 0.334 0.666  0.00
Zn 0.500 0.000 0.666  0.00
Ti 0.000 0.333 0.333  0.14
Ti 0.000 0.667 0.667  0.14

Here is TaTi5Zn4 after structural relaxation from Alexandria. Energies are from PBE-GGA.

For the calculated density, the calculation gives 7.05 g/cm³. The total energy is -5.780 eV/atom. The space-group type is P4/mmm. For the magnetization, the calculation gives 0.0 μB per cell.

Cell: 3.176 3.176 15.914 Å, 90.00 90.00 90.00°
Fractional coordinates of all 10 atoms:
Ti 0.500 0.500 0.106
Ti 0.500 0.500 0.695
Ti 0.500 0.500 0.305
Ti 0.500 0.500 0.500
Ti 0.500 0.500 0.894
Zn 0.000 0.000 0.403
Zn 0.000 0.000 0.597
Zn 0.000 0.000 0.206
Zn 0.000 0.000 0.794
Ta 0.000 0.000 0.000

Here is Ta2Ti2Zn after structural relaxation from Alexandria. Energies are from PBE-GGA.

For the calculated density, the calculation gives 9.97 g/cm³. The total energy is -7.933 eV/atom. The space-group type is P4/mbm. For the magnetization, the calculation gives 0.0 μB per cell.

Cell: 6.891 6.891 3.670 Å, 90.00 90.00 90.00°
Fractional coordinates of all 10 atoms:
Ta 0.667 0.833 0.500
Ta 0.167 0.667 0.500
Ta 0.833 0.333 0.500
Ta 0.333 0.167 0.500
Zn 0.500 0.500 0.000
Zn 0.000 0.000 0.000
Ti 0.365 0.865 0.000
Ti 0.865 0.635 0.000
Ti 0.135 0.365 0.000
Ti 0.635 0.135 0.000

Here is TaTiZn2 after structural relaxation from Alexandria. Energies are from PBE-GGA.

For the calculated density, the calculation gives 9.32 g/cm³. The total energy is -5.638 eV/atom. The space-group type is P1. For the magnetization, the calculation gives 0.4 μB per cell.

Cell: 2.836 2.837 8.458 Å, 90.02 109.67 89.94°
Last column: magnetic moment on the atom in μB.
Fractional coordinates of all 4 atoms:
Ti 0.485 0.375 0.109  0.34
Zn 0.737 0.875 0.862  0.00
Zn 0.017 0.375 0.642  0.00
Ta 0.262 0.875 0.387  0.02

Here is TaTiZn after structural relaxation from Alexandria. Energies are from PBE-GGA.

For the calculated density, the calculation gives 9.68 g/cm³. The total energy is -7.044 eV/atom. The space-group type is Aem2. For the magnetization, the calculation gives 0.0 μB per cell.

Cell: 2.840 2.840 12.674 Å, 90.00 90.00 80.99°
Fractional coordinates of all 6 atoms:
Ti 0.336 0.336 0.515
Ti 0.836 0.836 0.988
Zn 0.338 0.338 0.826
Zn 0.838 0.838 0.677
Ta 0.280 0.280 0.156
Ta 0.780 0.780 0.346

Here is Ta2Ti2Zn after structural relaxation from Alexandria. Energies are from PBE-GGA.

For the calculated density, the calculation gives 9.61 g/cm³. The total energy is -7.907 eV/atom. The space-group type is P4/mbm. For the magnetization, the calculation gives 0.0 μB per cell.

Cell: 7.036 7.036 3.649 Å, 90.00 90.00 90.00°
Fractional coordinates of all 10 atoms:
Ti 0.664 0.836 0.500
Ti 0.164 0.664 0.500
Ti 0.336 0.164 0.500
Ti 0.836 0.336 0.500
Zn 0.000 0.000 0.000
Zn 0.500 0.500 0.000
Ta 0.135 0.365 0.000
Ta 0.635 0.135 0.000
Ta 0.365 0.865 0.000
Ta 0.865 0.635 0.000

Here is TaTiZn2 after structural relaxation from Alexandria. Energies are from PBE-GGA.

For the calculated density, the calculation gives 9.49 g/cm³. The total energy is -5.661 eV/atom. The space-group type is P4/mmm. For the magnetization, the calculation gives 0.0 μB per cell.

Cell: 3.913 4.010 4.010 Å, 90.00 90.00 90.00°
Fractional coordinates of all 4 atoms:
Zn 0.000 0.000 0.500
Zn 0.000 0.500 0.000
Ta 0.500 0.500 0.500
Ti 0.500 0.000 0.000

Here is TaTiZn2 after structural relaxation from Alexandria. Energies are from PBE-GGA.

For the calculated density, the calculation gives 9.43 g/cm³. The total energy is -5.668 eV/atom. The space-group type is P4/mmm. For the magnetization, the calculation gives 0.5 μB per cell.

Cell: 2.835 2.835 7.882 Å, 90.00 90.00 90.00°
Last column: magnetic moment on the atom in μB.
Fractional coordinates of all 4 atoms:
Zn 0.000 0.000 0.754  0.00
Zn 0.000 0.000 0.246  0.00
Ta 0.500 0.500 0.500  0.00
Ti 0.500 0.500 0.000  0.45

Here is TaTi2Zn2 after structural relaxation from Alexandria. Energies are from PBE-GGA.

For the calculated density, the calculation gives 8.28 g/cm³. The total energy is -6.110 eV/atom. The space-group type is C2/c. For the magnetization, the calculation gives 0.9 μB per cell.

Cell: 2.862 5.606 11.099 Å, 112.12 97.41 90.00°
Last column: magnetic moment on the atom in μB.
Fractional coordinates of all 10 atoms:
Zn 0.795 0.441 0.587  0.00
Zn 0.205 0.559 0.413  0.00
Zn 0.207 0.059 0.413  0.00
Zn 0.793 0.941 0.587  0.00
Ta 0.021 0.750 0.000  -0.01
Ta 0.979 0.250 0.000  -0.01
Ti 0.609 0.164 0.218  0.18
Ti 0.391 0.836 0.782  0.18
Ti 0.609 0.664 0.218  0.18
Ti 0.391 0.336 0.782  0.18

The highest calculated density belongs to which entry?
number 4